Computed, not measured: a relaxed structure of RbMgP2O at the PBE level of DFT.

The calculation puts the energy above the most stable polymorph in this dataset at 0.145 eV per atom. As for the formation energy (no corrections): -4.2 eV per formula unit. The total energy comes out at -22.50 eV/f.u. As for the symmetry: Cm (8).

Cell: 5.371 3.330 13.577 Å, 90.00 105.42 90.00°
Sites, in units of the cell vectors:
P (0.965, 0.000, 0.118)
Rb (0.624, 0.500, 0.275)
Rb (0.624, 0.000, 0.775)
O (0.259, 0.500, 0.598)
Mg (0.269, 0.000, 0.502)
Mg (0.269, 0.500, 0.002)
P (0.768, 0.000, 0.516)
P (0.965, 0.500, 0.618)
O (0.259, 0.000, 0.098)
P (0.768, 0.500, 0.016)

***

Computed, not measured: a relaxed structure of RbMgP2O at the PBE level of DFT.

The calculation puts the energy above the most stable polymorph in this dataset at 0.089 eV per atom. As for the formation energy (no corrections): -4.4 eV per formula unit. The total energy comes out at -22.78 eV/f.u. As for the symmetry: Cm (8).

Cell: 5.198 4.246 11.262 Å, 90.00 110.00 90.00°
Sites, in units of the cell vectors:
Rb (0.109, 0.500, 0.391)
P (0.719, 0.500, 0.008)
Mg (0.438, 0.000, 0.669)
Rb (0.109, 0.000, 0.891)
P (0.719, 0.000, 0.508)
O (0.049, 0.500, 0.065)
O (0.049, 0.000, 0.565)
P (0.554, 0.500, 0.809)
Mg (0.438, 0.500, 0.169)
P (0.554, 0.000, 0.309)

***

Computed, not measured: a relaxed structure of RbMgP2O at the PBE level of DFT.

The calculation puts the energy above the most stable polymorph in this dataset at 0.033 eV per atom. As for the formation energy (no corrections): -4.7 eV per formula unit. The total energy comes out at -23.06 eV/f.u. As for the symmetry: P1 (1).

Cell: 3.279 4.112 7.967 Å, 97.18 90.37 90.19°
Sites, in units of the cell vectors:
P (0.509, 0.904, 0.998)
Rb (0.505, 0.028, 0.551)
P (0.006, 0.603, 0.892)
O (0.020, 0.476, 0.352)
Mg (0.519, 0.449, 0.223)

***

Computed, not measured: a relaxed structure of RbMgPO2 at the PBE level of DFT.

The calculation puts the energy above the most stable polymorph in this dataset at 0.000 eV per atom. As for the formation energy (no corrections): -1.4 eV per formula unit. The total energy comes out at -19.33 eV/f.u. As for the symmetry: P4/mmm (123).

Cell: 4.334 4.334 5.209 Å, 90.00 90.00 90.00°
Site moments in Bohr magnetons follow the coordinates.
Sites, in units of the cell vectors:
Mg (0.000, 0.000, 0.000)  -0.01
Rb (0.500, 0.500, 0.500)  0.07
O (0.000, 0.500, 0.000)  0.75
P (0.000, 0.000, 0.500)  0.96
O (0.500, 0.000, 0.000)  0.75

***

no.,size of the total moment (μB per cell)
1,0.90
2,0.00
3,0.00
4,4.02